A plane-wave DFT calculation with PBE was carried out for a relaxed KBeCr2 crystal.

Computed properties:
DOS(E_F), states/eV/cell: 3.17
Calculated formation energy, kJ/mol of atoms: 142.5
VASP energy, eV/atom: -4.5404
Mass density, g/cm3: 3.3

Cell: 2.9692 4.9648 5.2542 Å, 90.00 90.00 90.00°
Last column: nearest neighbours and their distance in Å.
Positions (direct):
K (0.0000, 0.0000, 0.0000)  4 Cr 2.89, 2 K 2.97, 4 Be 3.02
Be (0.5000, 0.0000, 0.5000)  4 Cr 2.89, 2 Be 2.97, 4 K 3.02
Cr (0.0000, 0.5000, 0.5000)  4 Be 2.89, 6 Cr 2.97-3.02
Cr (0.5000, 0.5000, 0.0000)  4 K 2.89, 6 Cr 2.97-3.02

A plane-wave DFT calculation with PBE was carried out for a relaxed PmNdRhCl crystal.

Computed properties:
Formation energy from raw total energies, eV per atom: -1.1528
DOS(E_F), states/eV/cell: 1.55
VASP energy, eV/atom: -5.8320
Mass density, g/cm3: 6.5

Cell: 7.0164 4.0523 8.0532 Å, 90.00 106.83 90.00°
Last column: nearest neighbours and their distance in Å.
Positions (direct):
Pm (0.0000, 0.0000, 0.0000)  3 Rh 2.80
Pm (0.5000, 0.5000, 0.0000)  3 Rh 2.80
Nd (0.1992, 0.0000, 0.5967)  3 Rh 2.82
Nd (0.6992, 0.5000, 0.5967)  3 Rh 2.82
Rh (0.1001, 0.5000, 0.8000)  3 Pm 2.80, 3 Nd 2.82
Rh (0.6001, 0.0000, 0.8000)  3 Pm 2.80, 3 Nd 2.82
Cl (0.4282, 0.0000, 0.2860)  3 Pm 3.21, 3 Nd 3.34-3.35
Cl (0.9282, 0.5000, 0.2860)  3 Pm 3.21, 3 Nd 3.34-3.35

A plane-wave DFT calculation with PBE was carried out for a relaxed AsPRhBr2 crystal.

Computed properties:
Formation energy from raw total energies, eV per atom: 0.7010
DOS(E_F), states/eV/cell: 3.90
VASP energy, eV/atom: -3.4503
Mass density, g/cm3: 5.1
Relative energy among the computed polymorphs, kJ/mol of atoms: 0.0

Cell: 4.9972 4.9972 4.8041 Å, 90.00 90.00 90.00°
Last column: nearest neighbours and their distance in Å.
Positions (direct):
As (0.0000, 0.0000, 0.0000)  2 Rh 2.40
P (0.5000, 0.5000, 0.0000)  8 Br 3.47, 4 As 3.53
Rh (0.0000, 0.0000, 0.5000)  2 As 2.40, 4 Br 2.50
Br (0.0000, 0.5000, 0.5000)  2 Rh 2.50
Br (0.5000, 0.0000, 0.5000)  2 Rh 2.50